DFT (PBE-GGA) results for an optimized crystal structure of Pm4Pr2SmEr.

The structure in POSCAR format:
```
Pm4Pr2SmEr
1.0
9.4842 -0.0057 -1.7009
-0.0123 9.4842 -1.7009
-6.0630 -6.0672 8.3828
Pm Pr Sm Er
8 4 2 2
Cartesian
-0.5933 4.0238 2.4695 Pm
-0.7359 -0.7183 3.1626 Pm
-3.7555 1.1208 6.6609 Pm
0.9866 0.9693 5.6532 Pm
2.4222 2.4420 -0.6721 Pm
7.1645 2.2905 -1.6798 Pm
4.0022 -0.6125 2.5116 Pm
4.1448 4.1297 1.8184 Pm
4.7421 -0.0028 -0.8504 Pr
1.7106 -3.0364 3.3409 Pr
-3.0315 -3.0336 4.1914 Pr
4.7360 4.7392 -1.7009 Pr
6.4466 1.7028 1.6400 Sm
-0.0062 4.7421 -0.8504 Sm
3.4212 -6.0729 6.6819 Er
1.7044 1.7057 2.4906 Er
```

Results
Crystal system: monoclinic
Energy relative to the elements, eV/atom: 0.379
Raw total energy, Ha/atom: -0.1599
Space-group type: C2/c (15)